A relaxed Zr2Ge2TeS crystal. Source: OQMD, functional PBE-GGA.

The total energy comes out at -0.4348 Ry per atom. Its size of the total moment is 0.012 μB/f.u.

a b c (Å): 3.940 3.940 8.080
angles (deg): 90.00 90.00 90.00
Fractional coordinates of all 6 atoms:
Ge1 0.500 0.000 0.372
Ge2 0.000 0.500 0.628
Te1 0.500 0.500 0.000
Zr1 0.000 0.500 0.268
Zr2 0.500 0.000 0.732
S1 0.000 0.000 0.000